# 1
The following is a DFT calculation (GGA-PBE) of MgAlInGa after structural relaxation.

Summary:
Formation energy from the elements (eV per formula unit): 0.3
D(E_F) (states/eV/atom): 0.577

Cell: 4.903 4.903 4.903 Å, 60.00 60.00 60.00°
Atoms (fractional coordinates):
1 Mg 0.000 0.000 0.000
2 Al 0.500 0.500 0.500
3 In 0.250 0.250 0.250
4 Ga 0.750 0.750 0.750



# 2
The following is a DFT calculation (GGA-PBE) of Na2Al3InGa4 after structural relaxation.

Summary:
Formation energy from the elements (eV per formula unit): -0.5
D(E_F) (states/eV/atom): 0.243

Cell: 4.331 4.331 11.507 Å, 90.00 90.00 90.00°
Atoms (fractional coordinates):
1 Na 0.000 0.500 0.244
2 Na 0.500 0.000 0.756
3 Al 0.000 0.500 0.866
4 Al 0.500 0.000 0.134
5 Al 0.500 0.500 0.500
6 In 0.000 0.000 0.500
7 Ga 0.000 0.000 0.000
8 Ga 0.000 0.500 0.648
9 Ga 0.500 0.000 0.352
10 Ga 0.500 0.500 0.000



# 3
The following is a DFT calculation (GGA-PBE) of Na2AlIn3Ga4 after structural relaxation.

Summary:
Formation energy from the elements (eV per formula unit): -0.5
D(E_F) (states/eV/atom): 0.286

Cell: 4.454 4.454 12.004 Å, 90.00 90.00 90.00°
Atoms (fractional coordinates):
1 Na 0.000 0.500 0.238
2 Na 0.500 0.000 0.762
3 Al 0.500 0.500 0.000
4 In 0.000 0.000 0.000
5 In 0.000 0.500 0.645
6 In 0.500 0.000 0.355
7 Ga 0.000 0.000 0.500
8 Ga 0.000 0.500 0.866
9 Ga 0.500 0.000 0.134
10 Ga 0.500 0.500 0.500